Compound: HoEr5Tl3
Source: Alexandria via LeMat-Bulk
Functional: PBE
Structure: optimized geometry

Lattice parameters (Å, degrees): 6.6749 9.2975 9.2958 120.01 90.00 90.00
Positions (direct):
Er 0.7500 0.6667 0.6667
Er 0.0000 0.6667 0.3334
Er 0.2500 0.6667 0.0000
Tl 0.2500 0.6664 0.6663
Tl 0.7500 0.3336 0.3337
Er 0.2500 0.3333 0.3333
Er 0.7500 0.0000 0.3333
Tl 0.2500 0.3338 0.0000
Er 0.2500 0.0000 0.6667
Tl 0.2500 0.0001 0.3337
Tl 0.7500 0.9999 0.6663
Er 0.0000 0.3333 0.6666
Ho 0.0000 0.0000 0.0000
Ho 0.5000 0.0000 0.0000
Er 0.5000 0.6667 0.3334
Er 0.5000 0.3333 0.6666
Er 0.7500 0.3333 0.0000
Tl 0.7500 0.6662 0.0000

Summary:
- ΔH_f (0 K): -250 meV per atom
- Electronic total energy: -4.08 eV/atom
- Magnetic moment: 0.46 μB per cell

Compound: Ho3ErTl6
Source: Alexandria via LeMat-Bulk
Functional: PBE
Structure: optimized geometry

Lattice parameters (Å, degrees): 5.2251 8.5867 8.5867 115.99 101.70 101.70
Positions (direct):
Ho 0.9522 0.0000 0.3948
Ho 0.9522 0.3948 0.0000
Ho 0.5574 0.6052 0.6052
Tl 0.9339 0.4104 0.4104
Tl 0.5235 0.0000 0.5896
Tl 0.5235 0.5896 0.0000
Tl 0.1028 0.7771 0.0000
Er 0.6871 0.0000 0.0000
Tl 0.1028 0.0000 0.7771
Tl 0.3257 0.2229 0.2229

Summary:
- ΔH_f (0 K): 96 meV per atom
- Electronic total energy: -3.15 eV/atom
- Magnetic moment: 0.00 μB per cell

Compound: Ho2Er3Tl2
Source: Alexandria via LeMat-Bulk
Functional: PBE
Structure: optimized geometry

Lattice parameters (Å, degrees): 5.3640 5.3613 8.5644 108.25 90.00 120.02
Positions (direct):
Tl 0.7838 0.5676 0.8511
Ho 0.0743 0.1485 0.7222
Ho 0.9257 0.8515 0.2778
Er 0.3463 0.6926 0.5388
Er 0.6537 0.3074 0.4612
Tl 0.2162 0.4324 0.1489
Er 0.5000 0.0000 0.0000

Summary:
- ΔH_f (0 K): -194 meV per atom
- Electronic total energy: -4.13 eV/atom
- Magnetic moment: 0.00 μB per cell